No. 1
Density functional theory data (PBEsol) for a relaxed ScReSi2 crystal.

abc: 3.1541 4.0356 4.8591
angles: 90.00 108.94 90.00
Sites, in units of the cell vectors:
Sc: 0.3991 0.5000 0.7981
Si: 0.8225 0.0000 0.6451
Re: 0.1072 0.0000 0.2143
Si: 0.6696 0.5000 0.3393

Final energy: -0.3063 Ha/atom
Calculated density: 8156 kg/m³
Magnetization: 0.00 μB/f.u.
ΔE_f (raw): -0.477 eV per atom
Crystal system: orthorhombic
SG: Amm2 (38)

No. 2
Density functional theory data (PBEsol) for a relaxed InP2SeO crystal.

abc: 3.9011 5.0412 5.0412
angles: 90.00 90.00 90.00
Sites, in units of the cell vectors:
P: 0.0000 0.0000 0.5000
Se: 0.5000 0.5000 0.5000
P: 0.0000 0.5000 0.0000
O: 0.5000 0.0000 0.0000
In: 0.0000 0.0000 0.0000

Final energy: -0.1496 Ha/atom
Calculated density: 4551 kg/m³
Magnetization: 0.00 μB/f.u.
ΔE_f (raw): 0.663 eV per atom
Crystal system: tetragonal
SG: P4/mmm (123)

No. 3
Density functional theory data (PBEsol) for a relaxed Sc6Ga16Rh7 crystal.

abc: 8.6605 8.6605 8.6605
angles: 60.00 60.00 60.00
Sites, in units of the cell vectors:
Ga: 0.3431 0.9708 0.3431
Ga: 0.6569 0.0292 0.6569
Sc: 0.2837 0.7163 0.7163
Ga: 0.1233 0.6302 0.1233
Ga: 0.3698 0.8767 0.8767
Sc: 0.7163 0.2837 0.2837
Ga: 0.0292 0.6569 0.6569
Ga: 0.8767 0.3698 0.8767
Rh: 0.0000 0.0000 0.0000
Ga: 0.3431 0.3431 0.3431
Rh: 0.5000 0.0000 0.5000
Ga: 0.1233 0.1233 0.1233
Sc: 0.7163 0.2837 0.7163
Sc: 0.7163 0.7163 0.2837
Ga: 0.6569 0.6569 0.6569
Rh: 0.0000 0.5000 0.5000
Ga: 0.6302 0.1233 0.1233
Rh: 0.5000 0.0000 0.0000
Ga: 0.3431 0.3431 0.9708
Rh: 0.0000 0.5000 0.0000
Ga: 0.1233 0.1233 0.6302
Ga: 0.8767 0.8767 0.3698
Ga: 0.6569 0.6569 0.0292
Rh: 0.5000 0.5000 0.0000
Rh: 0.0000 0.0000 0.5000
Sc: 0.2837 0.2837 0.7163
Sc: 0.2837 0.7163 0.2837
Ga: 0.8767 0.8767 0.8767
Ga: 0.9708 0.3431 0.3431

Final energy: -0.2167 Ha/atom
Calculated density: 7612 kg/m³
Magnetization: 0.00 μB/f.u.
Crystal system: cubic
SG: Fm-3m (225)
Formation energy from the elements: -21.0 eV/f.u.

No. 4
Density functional theory data (PBEsol) for a relaxed Zn2CrW crystal.

abc: 3.5932 3.5932 4.1316
angles: 90.00 90.00 90.00
Last column: magnetic moment on the atom in μB.
Sites, in units of the cell vectors:
W: 0.0000 0.0000 0.5000  -0.10
Zn: 0.0000 0.5000 0.0000  -0.01
Cr: 0.5000 0.5000 0.5000  0.52
Zn: 0.5000 0.0000 0.0000  -0.01

Final energy: -0.2405 Ha/atom
Calculated density: 11414 kg/m³
Magnetization: 0.41 μB/f.u.
Crystal system: tetragonal
SG: P4/mmm (123)
Formation energy from the elements: 1.0 eV/f.u.